#w
Compound: BaFeCo2
Source: Alexandria
Functional: meta-GGA SCAN
Structure: single point on PBEsol structure

Output
size of the total moment = 5.08 μB per formula unit
N(E_F) = 3.1 states/eV/f.u.

Unit cell a=3.9982 b=3.9982 c=16.6853 alpha=90.00 beta=90.00 gamma=120.00
Space group R-3m (No. 166, hexagonal axes)
Unique sites:
Ba  0.0000  0.0000  0.0000 x3
Fe  0.0000  0.0000  0.5000 x3
Co  0.0000  0.0000  0.1855 x6

***

#x
Compound: BaFeCo2
Source: Alexandria
Functional: meta-GGA SCAN
Structure: single point on PBEsol structure

Output
size of the total moment = 5.41 μB per formula unit
N(E_F) = 3.8 states/eV/f.u.

Unit cell a=4.105 b=3.917 c=5.219 alpha=90.00 beta=101.76 gamma=90.00
Space group P2/m (No. 10)
Unique sites:
Ba  0.000  0.000  0.000 x1
Fe  0.500  0.000  0.500 x1
Co  0.262  0.500  0.580 x2

***

Quick one: least stable of them? #x

***

#w
Compound: Ba2LiCo
Source: Alexandria
Functional: meta-GGA SCAN
Structure: single point on PBEsol structure

Output
size of the total moment = 1.09 μB per formula unit
N(E_F) = 4.0 states/eV/f.u.

Unit cell a=4.573 b=4.494 c=12.002 alpha=90.00 beta=90.00 gamma=90.00
Space group Amm2 (No. 38)
Unique sites:
Ba  0.000  0.000  0.000 x2
Ba  0.500  0.000  0.276 x2
Li  0.500  0.000  0.587 x2
Co  0.000  0.000  0.682 x2

***

#x
Compound: Ba2LiCo
Source: Alexandria
Functional: meta-GGA SCAN
Structure: single point on PBEsol structure

Output
size of the total moment = 1.01 μB per formula unit
N(E_F) = 3.3 states/eV/f.u.

Unit cell a=3.693 b=3.693 c=8.544 alpha=90.00 beta=90.00 gamma=90.00
Space group P4mm (No. 99)
Unique sites:
Ba  0.000  0.000  0.000 x1
Ba  0.500  0.500  0.434 x1
Li  0.500  0.500  0.760 x1
Co  0.000  0.000  0.675 x1

***

#y
Compound: Ba2LiCo
Source: Alexandria
Functional: meta-GGA SCAN
Structure: single point on PBEsol structure

Output
size of the total moment = 0.53 μB per formula unit
N(E_F) = 3.2 states/eV/f.u.

Unit cell a=3.653 b=5.362 c=12.325 alpha=90.00 beta=90.00 gamma=90.00
Space group Imm2 (No. 44)
Unique sites:
Ba  0.000  0.000  0.000 x2
Ba  0.000  0.500  0.194 x2
Li  0.000  0.500  0.842 x2
Co  0.000  0.000  0.498 x2

***

Quick one: least stable of them? #y